MnZn4Se5 after structural relaxation. Source: Alexandria via LeMat-Bulk, functional PBEsol.

**Size of the total moment**: 5.0 Bohr magnetons per cell
**Formation energy (no corrections)**: -573 meV/atom

a = 6.9333 Å, b = 6.9333 Å, c = 9.8152 Å
α = 118.01°, β = 118.01°, γ = 33.53°
Positions (direct):
1 Mn 0.0000 0.0000 0.0000
2 Zn 0.1995 0.1995 0.8004
3 Zn 0.4003 0.4003 0.5974
4 Zn 0.6031 0.6031 0.4053
5 Zn 0.8024 0.8024 0.2030
6 Se 0.2025 0.2025 0.5535
7 Se 0.4025 0.4025 0.3503
8 Se 0.6046 0.6046 0.1576
9 Se 0.7976 0.7976 0.9506
10 Se 0.9994 0.9994 0.7464